The following is a DFT calculation (PBE) of crystalline ScInCuW at its relaxed geometry.

CIF file:
```
data_ScInCuW
_cell_length_a 4.6783
_cell_length_b 4.6783
_cell_length_c 4.6783
_cell_angle_alpha 60.00
_cell_angle_beta 60.00
_cell_angle_gamma 60.00
_symmetry_space_group_name_H-M 'P 1'
_symmetry_Int_Tables_number 1
_symmetry_space_group_name_Hall 'P 1'
loop_
_atom_site_label
_atom_site_type_symbol
_atom_site_fract_x
_atom_site_fract_y
_atom_site_fract_z
_atom_site_occupancy
Sc1 Sc 0.0000 0.0000 0.0000 1
In1 In 0.5000 0.5000 0.5000 1
Cu1 Cu 0.7500 0.7500 0.7500 1
W1 W 0.2500 0.2500 0.2500 1
```

Results
uncorrected energy	-5.99	eV per atom

=====

The following is a DFT calculation (PBE) of crystalline In2CuSe4 at its relaxed geometry.

CIF file:
```
data_In2CuSe4
_cell_length_a 7.0837
_cell_length_b 7.0837
_cell_length_c 7.0837
_cell_angle_alpha 132.39
_cell_angle_beta 132.39
_cell_angle_gamma 69.62
_symmetry_space_group_name_H-M 'P 1'
_symmetry_Int_Tables_number 1
_symmetry_space_group_name_Hall 'P 1'
loop_
_atom_site_label
_atom_site_type_symbol
_atom_site_fract_x
_atom_site_fract_y
_atom_site_fract_z
_atom_site_occupancy
In1 In 0.0000 0.0000 0.0000 1
In2 In 0.7500 0.2500 0.5000 1
Cu1 Cu 0.5000 0.5000 0.0000 1
Se1 Se 0.1636 0.6291 0.0514 1
Se2 Se 0.3709 0.4222 0.5345 1
Se3 Se 0.5778 0.1123 0.9486 1
Se4 Se 0.8877 0.8364 0.4655 1
```

Results
uncorrected energy	-3.69	eV per atom

=====

The following is a DFT calculation (PBE) of crystalline In2Cu3Se2 at its relaxed geometry.

CIF file:
```
data_In2Cu3Se2
_cell_length_a 5.8886
_cell_length_b 5.8886
_cell_length_c 5.8886
_cell_angle_alpha 58.56
_cell_angle_beta 58.56
_cell_angle_gamma 58.56
_symmetry_space_group_name_H-M 'P 1'
_symmetry_Int_Tables_number 1
_symmetry_space_group_name_Hall 'P 1'
loop_
_atom_site_label
_atom_site_type_symbol
_atom_site_fract_x
_atom_site_fract_y
_atom_site_fract_z
_atom_site_occupancy
In1 In 0.0000 0.0000 0.0000 1
In2 In 0.5000 0.5000 0.5000 1
Cu1 Cu 0.0000 0.5000 0.5000 1
Cu2 Cu 0.5000 0.0000 0.5000 1
Cu3 Cu 0.5000 0.5000 0.0000 1
Se1 Se 0.2181 0.2181 0.2181 1
Se2 Se 0.7819 0.7819 0.7819 1
```

Results
uncorrected energy	-3.50	eV per atom

=====

The following is a DFT calculation (PBE) of crystalline InCuSe at its relaxed geometry.

CIF file:
```
data_InCuSe
_cell_length_a 3.9079
_cell_length_b 3.9079
_cell_length_c 8.7782
_cell_angle_alpha 90.00
_cell_angle_beta 90.00
_cell_angle_gamma 90.00
_symmetry_space_group_name_H-M 'P 1'
_symmetry_Int_Tables_number 1
_symmetry_space_group_name_Hall 'P 1'
loop_
_atom_site_label
_atom_site_type_symbol
_atom_site_fract_x
_atom_site_fract_y
_atom_site_fract_z
_atom_site_occupancy
In1 In 0.2500 0.2500 0.1482 1
In2 In 0.7500 0.7500 0.8518 1
Cu1 Cu 0.2500 0.7500 0.5000 1
Cu2 Cu 0.7500 0.2500 0.5000 1
Se1 Se 0.2500 0.2500 0.6828 1
Se2 Se 0.7500 0.7500 0.3172 1
```

Results
uncorrected energy	-3.48	eV per atom

=====

The following is a DFT calculation (PBE) of crystalline In9Cu4Se16 at its relaxed geometry.

CIF file:
```
data_In9Cu4Se16
_cell_length_a 11.7801
_cell_length_b 11.7801
_cell_length_c 11.7801
_cell_angle_alpha 90.00
_cell_angle_beta 90.00
_cell_angle_gamma 90.00
_symmetry_space_group_name_H-M 'P 1'
_symmetry_Int_Tables_number 1
_symmetry_space_group_name_Hall 'P 1'
loop_
_atom_site_label
_atom_site_type_symbol
_atom_site_fract_x
_atom_site_fract_y
_atom_site_fract_z
_atom_site_occupancy
In1 In 0.0000 0.0000 0.2610 1
In2 In 0.0000 0.0000 0.7390 1
In3 In 0.0000 0.2610 0.0000 1
In4 In 0.0000 0.2697 0.5000 1
In5 In 0.0000 0.5000 0.2697 1
In6 In 0.0000 0.5000 0.7303 1
In7 In 0.0000 0.7303 0.5000 1
In8 In 0.0000 0.7390 0.0000 1
In9 In 0.2610 0.0000 0.0000 1
In10 In 0.2697 0.0000 0.5000 1
In11 In 0.2697 0.5000 0.0000 1
In12 In 0.5000 0.0000 0.2697 1
In13 In 0.5000 0.0000 0.7303 1
In14 In 0.5000 0.2697 0.0000 1
In15 In 0.5000 0.7303 0.0000 1
In16 In 0.7303 0.0000 0.5000 1
In17 In 0.7303 0.5000 0.0000 1
In18 In 0.7390 0.0000 0.0000 1
Cu1 Cu 0.2589 0.2589 0.2589 1
Cu2 Cu 0.2589 0.7411 0.7411 1
Cu3 Cu 0.2787 0.2787 0.7213 1
Cu4 Cu 0.2787 0.7213 0.2787 1
Cu5 Cu 0.7213 0.2787 0.2787 1
Cu6 Cu 0.7213 0.7213 0.7213 1
Cu7 Cu 0.7411 0.2589 0.7411 1
Cu8 Cu 0.7411 0.7411 0.2589 1
Se1 Se 0.1362 0.1362 0.1362 1
Se2 Se 0.1362 0.8638 0.8638 1
Se3 Se 0.1406 0.1406 0.6314 1
Se4 Se 0.1406 0.3686 0.8594 1
Se5 Se 0.1406 0.6314 0.1406 1
Se6 Se 0.1406 0.8594 0.3686 1
Se7 Se 0.1508 0.3836 0.3836 1
Se8 Se 0.1508 0.6164 0.6164 1
Se9 Se 0.3686 0.1406 0.8594 1
Se10 Se 0.3686 0.8594 0.1406 1
Se11 Se 0.3836 0.1508 0.3836 1
Se12 Se 0.3836 0.3836 0.1508 1
Se13 Se 0.3836 0.6164 0.8492 1
Se14 Se 0.3836 0.8492 0.6164 1
Se15 Se 0.3889 0.3889 0.6111 1
Se16 Se 0.3889 0.6111 0.3889 1
Se17 Se 0.6111 0.3889 0.3889 1
Se18 Se 0.6111 0.6111 0.6111 1
Se19 Se 0.6164 0.1508 0.6164 1
Se20 Se 0.6164 0.3836 0.8492 1
Se21 Se 0.6164 0.6164 0.1508 1
Se22 Se 0.6164 0.8492 0.3836 1
Se23 Se 0.6314 0.1406 0.1406 1
Se24 Se 0.6314 0.8594 0.8594 1
Se25 Se 0.8492 0.3836 0.6164 1
Se26 Se 0.8492 0.6164 0.3836 1
Se27 Se 0.8594 0.1406 0.3686 1
Se28 Se 0.8594 0.3686 0.1406 1
Se29 Se 0.8594 0.6314 0.8594 1
Se30 Se 0.8594 0.8594 0.6314 1
Se31 Se 0.8638 0.1362 0.8638 1
Se32 Se 0.8638 0.8638 0.1362 1
```

Results
uncorrected energy	-3.60	eV per atom

=====

The following is a DFT calculation (PBE) of crystalline InCuSe at its relaxed geometry.

CIF file:
```
data_InCuSe
_cell_length_a 4.2391
_cell_length_b 4.2391
_cell_length_c 7.4341
_cell_angle_alpha 90.00
_cell_angle_beta 90.00
_cell_angle_gamma 90.00
_symmetry_space_group_name_H-M 'P 1'
_symmetry_Int_Tables_number 1
_symmetry_space_group_name_Hall 'P 1'
loop_
_atom_site_label
_atom_site_type_symbol
_atom_site_fract_x
_atom_site_fract_y
_atom_site_fract_z
_atom_site_occupancy
In1 In 0.2500 0.2500 0.1647 1
In2 In 0.7500 0.7500 0.8353 1
Cu1 Cu 0.2500 0.7500 0.5000 1
Cu2 Cu 0.7500 0.2500 0.5000 1
Se1 Se 0.2500 0.2500 0.6920 1
Se2 Se 0.7500 0.7500 0.3080 1
```

Results
uncorrected energy	-3.46	eV per atom

=====

The following is a DFT calculation (PBE) of crystalline InCuSiSe3 at its relaxed geometry.

CIF file:
```
data_InCuSiSe3
_cell_length_a 6.7590
_cell_length_b 6.7590
_cell_length_c 10.4911
_cell_angle_alpha 90.00
_cell_angle_beta 90.00
_cell_angle_gamma 148.72
_symmetry_space_group_name_H-M 'P 1'
_symmetry_Int_Tables_number 1
_symmetry_space_group_name_Hall 'P 1'
loop_
_atom_site_label
_atom_site_type_symbol
_atom_site_fract_x
_atom_site_fract_y
_atom_site_fract_z
_atom_site_occupancy
In1 In 0.2154 0.7846 0.7500 1
In2 In 0.7846 0.2154 0.2500 1
Cu1 Cu 0.1158 0.8842 0.2500 1
Cu2 Cu 0.8842 0.1158 0.7500 1
Si1 Si 0.5000 0.5000 0.0000 1
Si2 Si 0.5000 0.5000 0.5000 1
Se1 Se 0.1332 0.8668 0.0221 1
Se2 Se 0.1332 0.8668 0.4779 1
Se3 Se 0.4721 0.5279 0.2500 1
Se4 Se 0.5279 0.4721 0.7500 1
Se5 Se 0.8668 0.1332 0.5221 1
Se6 Se 0.8668 0.1332 0.9779 1
```

Results
uncorrected energy	-3.91	eV per atom

=====

The following is a DFT calculation (PBE) of crystalline InCuSiTeSe2 at its relaxed geometry.

CIF file:
```
data_InCuSiTeSe2
_cell_length_a 7.3097
_cell_length_b 7.3097
_cell_length_c 10.8804
_cell_angle_alpha 90.00
_cell_angle_beta 90.00
_cell_angle_gamma 151.90
_symmetry_space_group_name_H-M 'P 1'
_symmetry_Int_Tables_number 1
_symmetry_space_group_name_Hall 'P 1'
loop_
_atom_site_label
_atom_site_type_symbol
_atom_site_fract_x
_atom_site_fract_y
_atom_site_fract_z
_atom_site_occupancy
In1 In 0.2289 0.7711 0.7500 1
In2 In 0.7711 0.2289 0.2500 1
Cu1 Cu 0.1170 0.8830 0.2500 1
Cu2 Cu 0.8830 0.1170 0.7500 1
Si1 Si 0.5000 0.5000 0.0000 1
Si2 Si 0.5000 0.5000 0.5000 1
Te1 Te 0.4650 0.5350 0.2500 1
Te2 Te 0.5350 0.4650 0.7500 1
Se1 Se 0.1257 0.8743 0.0272 1
Se2 Se 0.1257 0.8743 0.4728 1
Se3 Se 0.8743 0.1257 0.5272 1
Se4 Se 0.8743 0.1257 0.9728 1
```

Results
uncorrected energy	-3.79	eV per atom

=====

The following is a DFT calculation (PBE) of crystalline InCuSiTe2Se at its relaxed geometry.

CIF file:
```
data_InCuSiTe2Se
_cell_length_a 6.9851
_cell_length_b 6.9851
_cell_length_c 10.8709
_cell_angle_alpha 90.00
_cell_angle_beta 90.00
_cell_angle_gamma 147.14
_symmetry_space_group_name_H-M 'P 1'
_symmetry_Int_Tables_number 1
_symmetry_space_group_name_Hall 'P 1'
loop_
_atom_site_label
_atom_site_type_symbol
_atom_site_fract_x
_atom_site_fract_y
_atom_site_fract_z
_atom_site_occupancy
In1 In 0.2317 0.7683 0.7500 1
In2 In 0.7683 0.2317 0.2500 1
Cu1 Cu 0.0981 0.9019 0.2500 1
Cu2 Cu 0.9019 0.0981 0.7500 1
Si1 Si 0.5000 0.5000 0.0000 1
Si2 Si 0.5000 0.5000 0.5000 1
Te1 Te 0.1437 0.8563 0.0202 1
Te2 Te 0.1437 0.8563 0.4798 1
Te3 Te 0.8563 0.1437 0.5202 1
Te4 Te 0.8563 0.1437 0.9798 1
Se1 Se 0.4820 0.5180 0.2500 1
Se2 Se 0.5180 0.4820 0.7500 1
```

Results
uncorrected energy	-3.65	eV per atom

=====

The following is a DFT calculation (PBE) of crystalline Sm2InCuSe4 at its relaxed geometry.

CIF file:
```
data_Sm2InCuSe4
_cell_length_a 7.4253
_cell_length_b 7.4253
_cell_length_c 14.5274
_cell_angle_alpha 90.00
_cell_angle_beta 90.00
_cell_angle_gamma 147.54
_symmetry_space_group_name_H-M 'P 1'
_symmetry_Int_Tables_number 1
_symmetry_space_group_name_Hall 'P 1'
loop_
_atom_site_label
_atom_site_type_symbol
_atom_site_fract_x
_atom_site_fract_y
_atom_site_fract_z
_atom_site_occupancy
Sm1 Sm 0.1347 0.8653 0.5646 1
Sm2 Sm 0.1347 0.8653 0.9354 1
Sm3 Sm 0.8653 0.1347 0.0646 1
Sm4 Sm 0.8653 0.1347 0.4354 1
In1 In 0.3907 0.6093 0.7500 1
In2 In 0.6093 0.3907 0.2500 1
Cu1 Cu 0.3392 0.6608 0.2500 1
Cu2 Cu 0.6608 0.3392 0.7500 1
Se1 Se 0.0630 0.9370 0.7500 1
Se2 Se 0.2326 0.7674 0.1155 1
Se3 Se 0.2326 0.7674 0.3845 1
Se4 Se 0.5000 0.5000 0.0000 1
Se5 Se 0.5000 0.5000 0.5000 1
Se6 Se 0.7674 0.2326 0.6155 1
Se7 Se 0.7674 0.2326 0.8845 1
Se8 Se 0.9370 0.0630 0.2500 1
```

Results
uncorrected energy	-5.00	eV per atom

=====

Among the records above, which one has the highest uncorrected energy? number 6

=====

Please write out number 2 again, unchanged.
The following is a DFT calculation (PBE) of crystalline In2CuSe4 at its relaxed geometry.

CIF file:
```
data_In2CuSe4
_cell_length_a 7.0837
_cell_length_b 7.0837
_cell_length_c 7.0837
_cell_angle_alpha 132.39
_cell_angle_beta 132.39
_cell_angle_gamma 69.62
_symmetry_space_group_name_H-M 'P 1'
_symmetry_Int_Tables_number 1
_symmetry_space_group_name_Hall 'P 1'
loop_
_atom_site_label
_atom_site_type_symbol
_atom_site_fract_x
_atom_site_fract_y
_atom_site_fract_z
_atom_site_occupancy
In1 In 0.0000 0.0000 0.0000 1
In2 In 0.7500 0.2500 0.5000 1
Cu1 Cu 0.5000 0.5000 0.0000 1
Se1 Se 0.1636 0.6291 0.0514 1
Se2 Se 0.3709 0.4222 0.5345 1
Se3 Se 0.5778 0.1123 0.9486 1
Se4 Se 0.8877 0.8364 0.4655 1
```

Results
uncorrected energy	-3.69	eV per atom

=====

What is the uncorrected energy in the tenth record? -5.00 eV per atom